# NaGaSbI2 meta-GGA SCAN PBEsol geometry
# Formation energy from raw total energies ... 0.1690 eV per atom
data_NaGaSbI2
_cell_length_a 5.794
_cell_length_b 5.794
_cell_length_c 5.747
_cell_angle_alpha 90.00
_cell_angle_beta 90.00
_cell_angle_gamma 90.00
_space_group_name_H-M_alt 'P 4/m m m'
_space_group_IT_number 123
_space_group_name_Hall '-P 4 2'
loop_
_atom_site_label
_atom_site_fract_x
_atom_site_fract_y
_atom_site_fract_z
Na1 0.000 0.000 0.000
Ga1 0.500 0.500 0.500
Sb1 0.000 0.000 0.500
I1 0.000 0.500 0.000

# KTa2Si meta-GGA SCAN PBEsol geometry
# Formation energy from raw total energies ... 1.1180 eV per atom
data_KTa2Si
_cell_length_a 6.065
_cell_length_b 9.979
_cell_length_c 2.743
_cell_angle_alpha 90.00
_cell_angle_beta 114.70
_cell_angle_gamma 90.00
_space_group_name_H-M_alt 'C 1 2/m 1'
_space_group_IT_number 12
loop_
_space_group_symop_operation_xyz
'x,y,z'
'-x,-y,-z'
'-x,y,-z'
'x,-y,z'
'x+1/2,y+1/2,z'
'-x+1/2,-y+1/2,-z'
'-x+1/2,y+1/2,-z'
'x+1/2,-y+1/2,z'
loop_
_atom_site_label
_atom_site_fract_x
_atom_site_fract_y
_atom_site_fract_z
K1 0.000 0.000 0.000
Ta1 0.250 0.250 0.500
Si1 0.000 0.500 0.000

# Ca2SnAs2 meta-GGA SCAN PBEsol geometry
# Formation energy from the elements ... -0.86 eV/atom
data_Ca2SnAs2
_cell_length_a 7.620
_cell_length_b 7.620
_cell_length_c 4.127
_cell_angle_alpha 90.00
_cell_angle_beta 90.00
_cell_angle_gamma 90.00
_space_group_name_H-M_alt 'P 4/m b m'
_space_group_IT_number 127
_space_group_name_Hall '-P 4 2ab'
loop_
_atom_site_label
_atom_site_fract_x
_atom_site_fract_y
_atom_site_fract_z
Ca1 0.169 0.331 0.000
Sn1 0.000 0.000 0.500
As1 0.131 0.631 0.500

# MoOs meta-GGA SCAN PBEsol geometry
# Formation energy from the elements ... 0.11 eV/atom
data_MoOs
_cell_length_a 3.856
_cell_length_b 3.856
_cell_length_c 7.875
_cell_angle_alpha 90.00
_cell_angle_beta 90.00
_cell_angle_gamma 90.00
_space_group_name_H-M_alt 'I 41/a m d'
_space_group_IT_number 141
loop_
_space_group_symop_operation_xyz
'x,y,z'
'-x,-y,-z'
'-y+1/4,x+3/4,z+1/4'
'y+1/4,-x+3/4,-z+1/4'
'-x+1/2,-y,z+1/2'
'x+1/2,y,-z+1/2'
'y+1/4,-x+1/4,z+3/4'
'-y+1/4,x+1/4,-z+3/4'
'x,-y,-z'
'-x,y,z'
'-y+1/4,-x+1/4,-z+3/4'
'y+1/4,x+1/4,z+3/4'
'-x+1/2,y,-z+1/2'
'x+1/2,-y,z+1/2'
'y+1/4,x+3/4,-z+1/4'
'-y+1/4,-x+3/4,z+1/4'
'x+1/2,y+1/2,z+1/2'
'-x+1/2,-y+1/2,-z+1/2'
'-y+3/4,x+1/4,z+3/4'
'y+3/4,-x+1/4,-z+3/4'
'-x,-y+1/2,z'
'x,y+1/2,-z'
'y+3/4,-x+3/4,z+1/4'
'-y+3/4,x+3/4,-z+1/4'
'x+1/2,-y+1/2,-z+1/2'
'-x+1/2,y+1/2,z+1/2'
'-y+3/4,-x+3/4,-z+1/4'
'y+3/4,x+3/4,z+1/4'
'-x,y+1/2,-z'
'x,-y+1/2,z'
'y+3/4,x+1/4,-z+3/4'
'-y+3/4,-x+1/4,z+3/4'
loop_
_atom_site_label
_atom_site_fract_x
_atom_site_fract_y
_atom_site_fract_z
Mo1 0.000 0.250 0.375
Os1 0.000 0.250 0.875

# Lu2Te5O13 meta-GGA SCAN PBEsol geometry
# Formation energy from raw total energies ... -1.9080 eV per atom
data_Lu2Te5O13
_cell_length_a 6.764
_cell_length_b 8.504
_cell_length_c 10.350
_cell_angle_alpha 88.41
_cell_angle_beta 86.97
_cell_angle_gamma 74.88
_space_group_name_H-M_alt 'P -1'
_space_group_IT_number 2
loop_
_space_group_symop_operation_xyz
'x,y,z'
'-x,-y,-z'
loop_
_atom_site_label
_atom_site_fract_x
_atom_site_fract_y
_atom_site_fract_z
Lu1 0.004 0.241 0.239
Lu2 0.447 0.965 0.818
Te1 0.135 0.850 0.098
Te2 0.156 0.301 0.635
Te3 0.266 0.900 0.476
Te4 0.292 0.382 0.967
Te5 0.441 0.408 0.305
O1 0.032 0.854 0.564
O2 0.056 0.319 0.037
O3 0.063 0.517 0.695
O4 0.069 0.773 0.282
O5 0.130 0.988 0.902
O6 0.237 0.005 0.183
O7 0.315 0.236 0.291
O8 0.322 0.728 0.777
O9 0.334 0.234 0.775
O10 0.336 0.016 0.615
O11 0.351 0.491 0.122
O12 0.454 0.691 0.513
O13 0.478 0.174 0.000

# LaCoPO meta-GGA SCAN PBEsol geometry
# Formation energy from raw total energies ... -2.1098 eV per atom
data_LaCoPO
_cell_length_a 3.891
_cell_length_b 3.891
_cell_length_c 8.342
_cell_angle_alpha 90.00
_cell_angle_beta 90.00
_cell_angle_gamma 90.00
_space_group_name_H-M_alt 'P 4/n m m'
_space_group_IT_number 129
loop_
_space_group_symop_operation_xyz
'x,y,z'
'-x,-y,-z'
'-y+1/2,x,z'
'y+1/2,-x,-z'
'-x+1/2,-y+1/2,z'
'x+1/2,y+1/2,-z'
'y,-x+1/2,z'
'-y,x+1/2,-z'
'x+1/2,-y,-z'
'-x+1/2,y,z'
'-y,-x,-z'
'y,x,z'
'-x,y+1/2,-z'
'x,-y+1/2,z'
'y+1/2,x+1/2,-z'
'-y+1/2,-x+1/2,z'
loop_
_atom_site_label
_atom_site_fract_x
_atom_site_fract_y
_atom_site_fract_z
La1 0.250 0.250 0.153
Co1 0.250 0.750 0.500
P1 0.250 0.250 0.627
O1 0.250 0.750 0.000

# CaZrCl2 meta-GGA SCAN PBEsol geometry
# Formation energy from raw total energies ... -1.1123 eV per atom
data_CaZrCl2
_cell_length_a 3.210
_cell_length_b 6.346
_cell_length_c 8.790
_cell_angle_alpha 90.00
_cell_angle_beta 90.00
_cell_angle_gamma 90.00
_space_group_name_H-M_alt 'C m m m'
_space_group_IT_number 65
_space_group_name_Hall '-C 2 2'
loop_
_atom_site_label
_atom_site_fract_x
_atom_site_fract_y
_atom_site_fract_z
Ca1 0.000 0.000 0.000
Zr1 0.000 0.000 0.500
Cl1 0.000 0.500 0.262

# KSmSe2O8 meta-GGA SCAN PBEsol geometry
# Formation energy from raw total energies ... -1.7402 eV per atom
data_KSmSe2O8
_cell_length_a 8.778
_cell_length_b 7.267
_cell_length_c 10.928
_cell_angle_alpha 90.00
_cell_angle_beta 91.12
_cell_angle_gamma 90.00
_space_group_name_H-M_alt 'P 1 21/c 1'
_space_group_IT_number 14
loop_
_space_group_symop_operation_xyz
'x,y,z'
'-x,-y,-z'
'-x,y+1/2,-z+1/2'
'x,-y+1/2,z+1/2'
loop_
_atom_site_label
_atom_site_fract_x
_atom_site_fract_y
_atom_site_fract_z
K1 0.067 0.144 0.341
Sm1 0.444 0.664 0.653
Se1 0.222 0.659 0.412
Se2 0.314 0.162 0.608
O1 0.088 0.521 0.363
O2 0.128 0.152 0.600
O3 0.199 0.744 0.049
O4 0.258 0.676 0.810
O5 0.369 0.159 0.197
O6 0.384 0.543 0.449
O7 0.386 0.161 0.469
O8 0.398 0.506 0.192

# CsRbTe meta-GGA SCAN PBEsol geometry
# Formation energy from raw total energies ... -1.1685 eV per atom
data_CsRbTe
_cell_length_a 6.078
_cell_length_b 6.078
_cell_length_c 8.609
_cell_angle_alpha 90.00
_cell_angle_beta 90.00
_cell_angle_gamma 90.00
_space_group_name_H-M_alt 'P 4/n m m'
_space_group_IT_number 129
loop_
_space_group_symop_operation_xyz
'x,y,z'
'-x,-y,-z'
'-y+1/2,x,z'
'y+1/2,-x,-z'
'-x+1/2,-y+1/2,z'
'x+1/2,y+1/2,-z'
'y,-x+1/2,z'
'-y,x+1/2,-z'
'x+1/2,-y,-z'
'-x+1/2,y,z'
'-y,-x,-z'
'y,x,z'
'-x,y+1/2,-z'
'x,-y+1/2,z'
'y+1/2,x+1/2,-z'
'-y+1/2,-x+1/2,z'
loop_
_atom_site_label
_atom_site_fract_x
_atom_site_fract_y
_atom_site_fract_z
Cs1 0.250 0.750 0.000
Rb1 0.250 0.750 0.500
Te1 0.250 0.250 0.262

# SrMnZn2Cr meta-GGA SCAN PBEsol geometry
# Formation energy from the elements ... 0.20 eV/atom
data_SrMnZn2Cr
_cell_length_a 4.876
_cell_length_b 4.876
_cell_length_c 4.197
_cell_angle_alpha 90.00
_cell_angle_beta 90.00
_cell_angle_gamma 90.00
_space_group_name_H-M_alt 'P 4/m m m'
_space_group_IT_number 123
_space_group_name_Hall '-P 4 2'
loop_
_atom_site_label
_atom_site_fract_x
_atom_site_fract_y
_atom_site_fract_z
Sr1 0.000 0.000 0.000
Mn1 0.500 0.500 0.000
Zn1 0.000 0.500 0.500
Cr1 0.500 0.500 0.500